Record 1
Material: K2TaSe
Method: DFT, PBE-GGA
State: relaxed

Lattice parameters (Å, degrees): 3.654 5.498 5.455 90.00 90.00 90.00
Site moments in Bohr magnetons follow the coordinates.
Sites, in units of the cell vectors:
Se 0.500 0.500 0.250  -0.04
K 0.000 0.000 0.004  0.01
K 0.000 0.000 0.496  0.01
Ta 0.500 0.500 0.750  0.78

---

Record 2
Material: ReSb5
Method: DFT, PBE-GGA
State: relaxed

Lattice parameters (Å, degrees): 7.509 7.509 4.596 90.00 90.00 144.03
Sites, in units of the cell vectors:
Sb 0.000 0.000 0.500
Sb 0.361 0.639 0.500
Sb 0.140 0.860 0.000
Sb 0.860 0.140 0.000
Sb 0.639 0.361 0.500
Re 0.500 0.500 0.000

Computed properties:
excess energy over the best structure of this formula in the dataset = 2.07 eV per formula unit

---

Record 3
Material: SiSnP2O
Method: DFT, PBE-GGA
State: relaxed

Lattice parameters (Å, degrees): 4.901 4.901 3.343 90.00 90.00 90.00
Sites, in units of the cell vectors:
O 0.000 0.000 0.500
Si 0.000 0.000 0.000
P 0.500 0.000 0.000
Sn 0.500 0.500 0.500
P 0.000 0.500 0.000

Computed properties:
excess energy over the best structure of this formula in the dataset = 0.00 eV per formula unit

---

Record 4
Material: La3PmDy2Te6
Method: DFT, PBE-GGA
State: relaxed

Lattice parameters (Å, degrees): 4.463 9.024 10.035 103.30 102.85 90.00
Sites, in units of the cell vectors:
Dy 0.834 0.668 0.668
Te 0.995 0.752 0.990
La 0.500 0.500 0.000
La 0.836 0.167 0.672
Te 0.671 0.574 0.342
Te 0.329 0.426 0.658
Te 0.667 0.094 0.333
Dy 0.166 0.332 0.332
La 0.164 0.833 0.328
Te 0.005 0.248 0.010
Te 0.333 0.906 0.667
Pm 0.500 0.000 0.000

---

Number 1: total energy -15.04 eV/cell. Number 2: total energy -29.70 eV/cell. Number 3: total energy -26.63 eV/cell. Number 4: total energy -65.15 eV/cell.